No. 1
A plane-wave DFT calculation with GGA-PBE was carried out for NbP2O2 after structural relaxation.

Cell lengths 3.8593, 3.8593, 5.4697 Å; angles 90.00, 90.00, 90.00 degrees
Last column: nearest neighbours and their distance in Å.
Space group P4/mmm (No. 123)
Symmetry-distinct sites (fractional):
Nb (0.0000, 0.0000, 0.0000) (multiplicity 1)  4 O 1.93
P (0.0000, 0.0000, 0.5000) (multiplicity 1)  4 P 2.73, 2 Nb 2.73
P (0.5000, 0.5000, 0.5000) (multiplicity 1)  4 P 2.73
O (0.0000, 0.5000, 0.0000) (multiplicity 2)  2 Nb 1.93

Summary:
Formation energy (no corrections) ... -424 kJ/mol of formula units
Energy relative to the lowest polymorph listed for this composition ... 0 meV/atom

No. 2
A plane-wave DFT calculation with GGA-PBE was carried out for Si2BrCl after structural relaxation.

Cell lengths 6.8475, 6.8475, 6.8475 Å; angles 90.00, 90.00, 90.00 degrees
Last column: nearest neighbours and their distance in Å.
Space group F-43m (No. 216)
Symmetry-distinct sites (fractional):
Si (0.0000, 0.0000, 0.0000) (multiplicity 4)  4 Si 2.97, 4 Cl 2.97
Si (0.2500, 0.2500, 0.2500) (multiplicity 4)  4 Br 2.97, 4 Si 2.97
Br (0.0000, 0.0000, 0.5000) (multiplicity 4)  4 Cl 2.97, 4 Si 2.97
Cl (0.2500, 0.2500, 0.7500) (multiplicity 4)  4 Br 2.97, 4 Si 2.97

Summary:
Formation energy (no corrections) ... 246 kJ/mol of formula units
Energy relative to the lowest polymorph listed for this composition ... 997 meV/atom

No. 3
A plane-wave DFT calculation with GGA-PBE was carried out for Ba3TcC after structural relaxation.

Cell lengths 5.6482, 5.6482, 5.6482 Å; angles 90.00, 90.00, 90.00 degrees
Last column: nearest neighbours and their distance in Å.
Space group Pm-3m (No. 221)
Symmetry-distinct sites (fractional):
Ba (0.0000, 0.0000, 0.5000) (multiplicity 3)  2 C 2.82
Tc (0.5000, 0.5000, 0.5000) (multiplicity 1)  12 Ba 3.99
C (0.0000, 0.0000, 0.0000) (multiplicity 1)  6 Ba 2.82

Summary:
ΔE_f ... 1.123 eV/atom
Energy relative to the lowest polymorph listed for this composition ... 0 meV/atom

No. 4
A plane-wave DFT calculation with GGA-PBE was carried out for AcTb8Nd6 after structural relaxation.

Cell lengths 9.8332, 9.8332, 18.5739 Å; angles 90.00, 90.00, 120.00 degrees
Last column: nearest neighbours and their distance in Å.
Space group R-3 (No. 148, hexagonal axes)
Symmetry-distinct sites (fractional):
Ac (0.0000, 0.0000, 0.0000) (multiplicity 3)  6 Tb 3.23
Tb (0.0000, 0.0000, 0.2306) (multiplicity 6)  6 Tb 3.38-3.56
Tb (0.0446, 0.2865, 0.8985) (multiplicity 18)  3 Tb 3.20-3.56, 1 Ac 3.23, 4 Nd 3.44-3.53
Nd (0.0231, 0.2368, 0.4053) (multiplicity 18)  6 Tb 3.44-3.82, 3 Nd 3.66-3.85

Summary:
ΔE_f ... 0.197 eV/atom
Energy relative to the lowest polymorph listed for this composition ... 36 meV/atom

No. 5
A plane-wave DFT calculation with GGA-PBE was carried out for Tb2Sm2Sb2C after structural relaxation.

Cell lengths 4.8157, 4.8157, 16.1375 Å; angles 90.00, 90.00, 90.00 degrees
Last column: nearest neighbours and their distance in Å.
Space group I4/mmm (No. 139)
Symmetry-distinct sites (fractional):
Tb (0.0000, 0.5000, 0.0000) (multiplicity 4)  2 C 2.41
Sm (0.0000, 0.0000, 0.1605) (multiplicity 4)  1 C 2.59
Sb (0.0000, 0.0000, 0.3607) (multiplicity 4)  5 Sm 3.23-3.42, 4 Tb 3.29
C (0.0000, 0.0000, 0.0000) (multiplicity 2)  4 Tb 2.41, 2 Sm 2.59

Summary:
Formation energy (no corrections) ... -540 kJ/mol of formula units

No. 6
A plane-wave DFT calculation with GGA-PBE was carried out for NiHgCl2 after structural relaxation.

Cell lengths 12.0178, 3.1957, 6.1536 Å; angles 90.00, 110.28, 90.00 degrees
Last column: nearest neighbours and their distance in Å.
Space group Cm (No. 8)
Symmetry-distinct sites (fractional):
Ni (0.0000, 0.0000, 0.0000) (multiplicity 2)  4 Cl 2.20
Hg (0.2819, 0.5000, 0.5595) (multiplicity 2)  1 Ni 3.05, 2 Hg 3.20
Cl (0.0843, 0.5000, 0.8656) (multiplicity 2)  2 Ni 2.20
Cl (0.4255, 0.0000, 0.1533) (multiplicity 2)  2 Ni 2.20

Summary:
Formation energy (no corrections) ... -140 kJ/mol of formula units
Energy relative to the lowest polymorph listed for this composition ... 65 meV/atom

One value per record, in order, for final energy: -7.0406; -2.9534; -3.9487; -4.4538; -5.9658; -2.8066 eV per atom.
One value per record, in order, for DOS at the Fermi energy: 0.411; 0.950; 1.235; 1.401; 0.968; 0.699 states/eV/atom.